Below is crystalline RbP2WO at its relaxed geometry, with properties calculated at the GGA+U level. Values from VASP.

Structure (Quantum ESPRESSO input):
```
&SYSTEM
  ibrav = 0, nat = 5, ntyp = 4
/
ATOMIC_SPECIES
P 30.97 P.upf
W 183.84 W.upf
Rb 85.47 Rb.upf
O 16.00 O.upf
CELL_PARAMETERS angstrom
4.9676 0.0000 0.0000
0.0000 4.9676 0.0000
0.0000 0.0000 3.9942
ATOMIC_POSITIONS crystal
P 0.0000 0.5000 0.0000
W 0.0000 0.0000 0.0000
Rb 0.5000 0.5000 0.5000
O 0.0000 0.0000 0.5000
P 0.5000 0.0000 0.0000
```

Polymorph energy (0 for the lowest one) in kJ per mole of atoms: 0.00
DOS at the Fermi energy in states/eV per cell: 3.04
SG: P4/mmm (123)
Crystal system: tetragonal
Uncorrected energy in eV per atom: -5.010

---

Below is crystalline Rb2PWO6 at its relaxed geometry, with properties calculated at the GGA+U level. Values from VASP.

Structure (Quantum ESPRESSO input):
```
&SYSTEM
  ibrav = 0, nat = 10, ntyp = 4
/
ATOMIC_SPECIES
Rb 85.47 Rb.upf
O 16.00 O.upf
P 30.97 P.upf
W 183.84 W.upf
CELL_PARAMETERS angstrom
5.2494 0.0000 0.0006
0.0000 5.2494 0.0005
2.6248 2.6249 5.7811
ATOMIC_POSITIONS crystal
Rb 0.7500 0.2500 0.5000
O 0.2718 0.2722 0.0000
O 0.7282 0.7278 0.0000
O 0.2722 0.7282 0.0000
O 0.7278 0.2718 0.0000
P 0.5000 0.5000 0.0000
Rb 0.2500 0.7500 0.5000
W 0.0000 0.0000 0.0000
O 0.8385 0.8385 0.3232
O 0.1615 0.1615 0.6768
```

DOS at the Fermi energy in states/eV per cell: 1.32
SG: I4/mmm (139)
Crystal system: tetragonal
Uncorrected energy in eV per atom: -6.055

---

Below is crystalline RbP2WO8 at its relaxed geometry, with properties calculated at the GGA+U level. Values from VASP.

Structure (Quantum ESPRESSO input):
```
&SYSTEM
  ibrav = 0, nat = 12, ntyp = 4
/
ATOMIC_SPECIES
W 183.84 W.upf
P 30.97 P.upf
O 16.00 O.upf
Rb 85.47 Rb.upf
CELL_PARAMETERS angstrom
-4.5562 0.3357 -2.1403
-4.1540 -0.3614 2.8402
-2.8309 8.7952 1.4596
ATOMIC_POSITIONS crystal
W 0.0000 0.0000 0.0000
P 0.2669 0.2669 0.1994
O 0.3968 0.7750 0.8682
O 0.9600 0.3968 0.8682
O 0.7750 0.9600 0.8682
Rb 0.5000 0.5000 0.5000
O 0.2250 0.0400 0.1318
O 0.0400 0.6032 0.1318
P 0.7331 0.7331 0.8006
O 0.6032 0.2250 0.1318
O 0.7891 0.7891 0.6327
O 0.2109 0.2109 0.3673
```

Polymorph energy (0 for the lowest one) in kJ per mole of atoms: 4.38
DOS at the Fermi energy in states/eV per cell: 2.69
SG: R-3 (148)
Crystal system: trigonal
Uncorrected energy in eV per atom: -7.044

---

Among the records above, which one has the lowest DOS at the Fermi energy?
Rb2PWO6